Entry from Alexandria via LeMat-Bulk: a geometry-optimized AgMoAuF6 structure (PBE with a Hubbard U).

Volume in Å³/cell: 289.16
Space-group type: No. 163
VASP energy in eV per atom: -4.312

Geometry as POSCAR:
```
AgMoAuF6
1.0
-2.202 -5.359 -1.957
4.628 2.673 -2.973
5.833 -4.302 5.214
Ag Mo Au F
2 2 2 12
Cartesian
3.809 -1.080 -1.330
4.449 -5.908 1.615
1.533 -3.757 -0.992
6.726 -3.231 1.277
0.000 0.000 0.000
2.917 -2.151 2.607
2.114 -2.480 -2.463
0.202 -4.731 -2.180
7.308 -1.956 -0.196
8.057 -2.256 2.465
2.865 -2.783 0.194
2.926 -5.037 -1.734
8.121 -4.509 0.534
0.951 -5.032 0.480
5.333 -1.950 2.019
0.138 -2.478 -0.250
5.394 -4.205 0.090
6.144 -4.508 2.747
```